Here is SmTmTiAl after structural relaxation from Alexandria via LeMat-Bulk. Energies are from GGA-PBE.

Values from the calculation:
Energy of formation from the pure elements   -0.0330 eV/atom

Lattice parameters (Å, degrees): 7.2888 7.2888 7.2888 90.00 90.00 90.00
Last column: nearest neighbours and their distance in Å.
Space group F-43m (No. 216)
Symmetry-distinct sites (fractional):
Sm  0.0000  0.0000  0.0000 [4 per cell]  4 Al 3.16, 4 Ti 3.16
Tm  0.0000  0.0000  0.5000 [4 per cell]  4 Al 3.16, 4 Ti 3.16
Ti  0.2500  0.2500  0.7500 [4 per cell]  4 Tm 3.16, 4 Sm 3.16
Al  0.2500  0.2500  0.2500 [4 per cell]  4 Tm 3.16, 4 Sm 3.16